Record 1
Below is crystalline FeMoRu2 at its relaxed geometry, with properties calculated at the PBE level.

a b c (Å): 4.094 2.696 5.330
angles (deg): 73.44 90.00 90.00
Each line ends with the local moment (μB).
Element x y z (fractional)
Fe: 0.500 0.250 0.250  2.52
Mo: 0.500 0.750 0.750  -0.18
Ru: 0.000 0.098 0.014  0.19
Ru: 0.000 0.402 0.486  0.19

## Properties
Energy relative to the lowest polymorph listed for this composition: 130.2 meV per atom
Magnetization: 0.68 μB per atom
ΔH_f (0 K): 0.68 eV per formula unit
SG: P2/m, No. 10

***

Record 2
Below is crystalline Cs2MgTl2Pb at its relaxed geometry, with properties calculated at the PBE level.

a b c (Å): 7.290 7.317 10.756
angles (deg): 109.89 109.81 90.00
Element x y z (fractional)
Cs: 0.399 0.169 0.338
Cs: 0.601 0.831 0.662
Cs: 0.061 0.331 0.662
Cs: 0.939 0.669 0.338
Mg: 0.500 0.750 0.000
Mg: 0.500 0.250 0.000
Tl: 0.825 0.097 0.195
Tl: 0.369 0.597 0.195
Tl: 0.631 0.403 0.805
Tl: 0.175 0.903 0.805
Pb: 0.000 0.750 0.000
Pb: 0.000 0.250 0.000

## Properties
Magnetization: 0.00 μB per atom
ΔH_f (0 K): -0.61 eV per formula unit
SG: Ibam, No. 72

***

Record 3
Below is crystalline ZnHgHBr2 at its relaxed geometry, with properties calculated at the PBE level.

a b c (Å): 5.463 3.541 5.463
angles (deg): 90.00 90.00 90.00
Element x y z (fractional)
H: 0.000 0.500 0.000
Zn: 0.000 0.000 0.000
Hg: 0.500 0.500 0.500
Br: 0.000 0.000 0.500
Br: 0.500 0.000 0.000

## Properties
Magnetization: 0.00 μB per atom
Calculated total energy: -1.791 eV/atom
SG: P4/mmm, No. 123

***

Record 4
Below is crystalline ZrCuHIr2 at its relaxed geometry, with properties calculated at the PBE level.

a b c (Å): 4.101 4.101 3.818
angles (deg): 90.00 90.00 90.00
Element x y z (fractional)
H: 0.000 0.000 0.000
Ir: 0.000 0.500 0.000
Ir: 0.500 0.000 0.000
Cu: 0.000 0.000 0.500
Zr: 0.500 0.500 0.500

## Properties
Magnetization: 0.00 μB per atom
Calculated total energy: -7.128 eV/atom
SG: P4/mmm, No. 123